10
Lattice="4.257 0.000 0.000 0.000 4.257 0.000 0.000 0.000 10.612" Properties=species:S:1:pos:R:3 comment="Nd2Zn4Pd3Pt (PBE, relaxed)" e_form_ev_per_atom=-0.640 magmom_total_mub_per_cell=0.00 dft_energy_ev_per_cell=-42.65 pbc="T T T"
Nd 2.128 0.000 2.720
Nd 0.000 2.128 7.892
Zn 2.128 2.128 0.000
Zn 0.000 0.000 0.000
Zn 2.128 0.000 6.711
Zn 0.000 2.128 3.901
Pd 0.000 0.000 5.306
Pd 2.128 0.000 9.193
Pd 0.000 2.128 1.420
Pt 2.128 2.128 5.306